Computed, not measured: crystalline AlCu2Sn at its relaxed geometry at the PBE level of DFT.

Computed properties:
Energy in eV/atom: -3.72
Space-group type: Pm-3m (221)
V in Å³/atom: 16.2

abc: 6.377 6.377 6.377
angles: 90.00 90.00 90.00
Fractional positions:
1 Al 0.000 0.000 0.000
2 Al 0.500 0.000 0.000
3 Al 0.000 0.500 0.000
4 Al 0.000 0.000 0.500
5 Cu 0.222 0.222 0.222
6 Cu 0.778 0.222 0.222
7 Cu 0.222 0.778 0.222
8 Cu 0.778 0.778 0.222
9 Cu 0.222 0.222 0.778
10 Cu 0.778 0.222 0.778
11 Cu 0.222 0.778 0.778
12 Cu 0.778 0.778 0.778
13 Sn 0.500 0.500 0.000
14 Sn 0.500 0.000 0.500
15 Sn 0.000 0.500 0.500
16 Sn 0.500 0.500 0.500